[1]
Material: DyNbB
Method: DFT, PBE-GGA
State: relaxed

Its total DFT energy (no corrections) is -64.84 eV for the cell shown. As for the total magnetization: 0.98 μB per atom. For the distance to the lowest polymorph of the same formula, the calculation gives 1.484 eV per atom.

Cell: 6.358 6.358 6.358 Å, 90.00 90.00 90.00°
Space group F-43m (No. 216)
Symmetry-distinct sites (fractional):
Dy 0.000 0.000 0.000 (multiplicity 4)
Nb 0.250 0.250 0.250 (multiplicity 4)
B 0.250 0.250 0.750 (multiplicity 4)



[2]
Material: NdDyB
Method: DFT, PBE-GGA
State: relaxed

Its total DFT energy (no corrections) is -62.38 eV for the cell shown. As for the total magnetization: 0.03 μB per atom.

Cell: 6.513 6.513 6.513 Å, 90.00 90.00 90.00°
Space group F-43m (No. 216)
Symmetry-distinct sites (fractional):
Nd 0.000 0.000 0.000 (multiplicity 4)
Dy 0.000 0.000 0.500 (multiplicity 4)
B 0.250 0.250 0.750 (multiplicity 4)



Number 2 is which compound?
NdDyB